# 1
# LiNd2BiO5 GGA-PBE relaxed
# DOS(E_F): 0.00 states/eV/f.u.
# Formation energy without anion corrections: -2.3968 eV/atom
# Uncorrected energy: -123.4 eV/cell
# Space-group type: Cmc2_1 (36)
data_LiNd2BiO5
_chemical_formula_sum 'Li2 Nd4 Bi2 O10'
_space_group_name_H-M_alt 'P 1'
_space_group_IT_number 1
_cell_length_a 7.0656
_cell_length_b 7.0656
_cell_length_c 10.3856
_cell_angle_alpha 90.00
_cell_angle_beta 90.00
_cell_angle_gamma 151.30
loop_
_space_group_symop_operation_xyz
'x,y,z'
loop_
_atom_site_label
_atom_site_fract_x
_atom_site_fract_y
_atom_site_fract_z
Li1 0.0004 0.9996 0.0000
Li2 0.9996 0.0004 0.5000
Nd1 0.3716 0.6284 0.6801
Nd2 0.3915 0.6085 0.2903
Nd3 0.6085 0.3915 0.7903
Nd4 0.6284 0.3716 0.1801
Bi1 0.3144 0.6856 0.9851
Bi2 0.6856 0.3144 0.4851
O1 0.0067 0.9933 0.3044
O2 0.1475 0.8525 0.0091
O3 0.1945 0.8055 0.6326
O4 0.2156 0.7844 0.3112
O5 0.4737 0.5263 0.0781
O6 0.5263 0.4737 0.5781
O7 0.7844 0.2156 0.8112
O8 0.8055 0.1945 0.1326
O9 0.8525 0.1475 0.5091
O10 0.9933 0.0067 0.8044

# 2
# Li2PmNd2Bi2 GGA-PBE relaxed
# DOS(E_F): 5.19 states/eV/f.u.
# Uncorrected energy: -29.1 eV/cell
# Energy relative to the elements: -0.46 eV/atom
# Space-group type: R-3m (166)
data_Li2PmNd2Bi2
_chemical_formula_sum 'Li2 Pm1 Nd2 Bi2'
_space_group_name_H-M_alt 'P 1'
_space_group_IT_number 1
_cell_length_a 9.6695
_cell_length_b 9.6695
_cell_length_c 9.6695
_cell_angle_alpha 29.48
_cell_angle_beta 29.48
_cell_angle_gamma 29.48
loop_
_space_group_symop_operation_xyz
'x,y,z'
loop_
_atom_site_label
_atom_site_fract_x
_atom_site_fract_y
_atom_site_fract_z
Li1 0.0927 0.0927 0.0927
Li2 0.9073 0.9073 0.9073
Pm1 0.5000 0.5000 0.5000
Nd1 0.3696 0.3696 0.3696
Nd2 0.6304 0.6304 0.6304
Bi1 0.2339 0.2339 0.2339
Bi2 0.7661 0.7661 0.7661